! Th2Ni7 | OQMD | PBE-GGA | relaxed; values from VASP
! final energy: -6.420 eV per atom
! magnetization: 0.046 μB per cell
! crystal system: hexagonal
&SYSTEM
  ibrav = 0, nat = 36, ntyp = 2
/
ATOMIC_SPECIES
Ni 58.69 Ni.upf
Th 232.04 Th.upf
CELL_PARAMETERS angstrom
-0.817 -2.413 4.274
3.785 -1.349 -2.935
14.834 15.904 11.816
ATOMIC_POSITIONS crystal
Ni 0.000 0.000 0.000
Ni 0.833 0.666 0.085
Ni 0.334 0.167 0.085
Ni 0.833 0.167 0.085
Ni 0.667 0.333 0.167
Ni 0.000 0.000 0.167
Ni 0.333 0.167 0.250
Ni 0.833 0.167 0.250
Ni 0.833 0.667 0.250
Ni 0.000 0.000 0.333
Ni 0.667 0.333 0.333
Ni 0.334 0.167 0.415
Ni 0.833 0.167 0.415
Ni 0.833 0.666 0.415
Ni 0.000 0.000 0.500
Ni 0.167 0.334 0.585
Ni 0.167 0.833 0.585
Ni 0.666 0.833 0.585
Ni 0.333 0.667 0.667
Ni 0.000 0.000 0.667
Ni 0.167 0.333 0.750
Ni 0.167 0.833 0.750
Ni 0.667 0.833 0.750
Ni 0.000 0.000 0.833
Ni 0.333 0.667 0.833
Ni 0.167 0.833 0.915
Ni 0.666 0.833 0.915
Ni 0.167 0.334 0.915
Th 0.333 0.667 0.032
Th 0.333 0.667 0.176
Th 0.333 0.667 0.324
Th 0.333 0.667 0.468
Th 0.667 0.333 0.532
Th 0.667 0.333 0.676
Th 0.667 0.333 0.824
Th 0.667 0.333 0.968